# 1
Material: TbSmY
Method: DFT, GGA-PBE
State: optimized geometry

density = 6.77 Mg/m³
calculated total energy = -15.6 eV per cell
magnetic moment = 0.0 μB/cell

Unit cell a=3.481 b=5.690 c=5.690 alpha=120.00 beta=90.00 gamma=90.00
Sites, in units of the cell vectors:
Y1 0.166 0.333 0.667
Tb1 0.167 0.000 0.000
Sm1 0.667 0.667 0.333



# 2
Material: Tb3Sm2Y6
Method: DFT, GGA-PBE
State: optimized geometry

density = 5.76 Mg/m³
calculated total energy = -60.0 eV per cell
magnetic moment = 0.0 μB/cell

Unit cell a=6.149 b=6.158 c=11.709 alpha=84.93 beta=79.80 gamma=60.05
Sites, in units of the cell vectors:
Sm1 0.167 0.667 0.500
Sm2 0.833 0.333 0.500
Tb1 0.000 0.000 0.000
Y1 0.917 0.667 0.249
Y2 0.750 0.000 0.751
Tb2 0.665 0.671 0.000
Y3 0.083 0.333 0.751
Y4 0.583 0.333 0.249
Y5 0.250 0.000 0.249
Tb3 0.335 0.329 0.000
Y6 0.417 0.667 0.751



# 3
Material: Tb7Sm2Y3
Method: DFT, GGA-PBE
State: optimized geometry

density = 7.12 Mg/m³
calculated total energy = -60.3 eV per cell
magnetic moment = 0.0 μB/cell

Unit cell a=3.605 b=5.810 c=19.283 alpha=103.91 beta=90.00 gamma=90.00
Sites, in units of the cell vectors:
Tb1 0.000 0.539 0.857
Tb2 0.500 0.007 0.823
Sm1 0.500 0.413 0.705
Tb3 0.500 0.279 0.537
Tb4 0.000 0.000 0.000
Y1 0.000 0.852 0.632
Y2 0.500 0.500 0.000
Tb5 0.000 0.461 0.143
Y3 0.000 0.148 0.368
Tb6 0.500 0.993 0.177
Tb7 0.500 0.721 0.463
Sm2 0.500 0.587 0.295



# 4
Material: Tb5Sm2Y3
Method: DFT, GGA-PBE
State: optimized geometry

density = 6.77 Mg/m³
calculated total energy = -100.0 eV per cell
magnetic moment = 0.0 μB/cell

Unit cell a=9.485 b=9.568 c=11.183 alpha=125.83 beta=125.67 gamma=68.18
Sites, in units of the cell vectors:
Y1 0.231 0.981 0.961
Y2 0.010 0.780 0.244
Tb1 0.979 0.229 0.458
Tb2 0.021 0.771 0.542
Tb3 0.279 0.529 0.057
Y3 0.990 0.220 0.756
Tb4 0.476 0.726 0.451
Sm1 0.778 0.013 0.742
Tb5 0.140 0.394 0.246
Tb6 0.721 0.471 0.943
Y4 0.266 0.536 0.756
Tb7 0.394 0.148 0.754
Sm2 0.222 0.987 0.258
Tb8 0.524 0.274 0.549
Tb9 0.860 0.606 0.754
Sm3 0.464 0.729 0.742
Sm4 0.536 0.271 0.258
Tb10 0.606 0.852 0.246
Y5 0.769 0.019 0.039
Y6 0.734 0.464 0.244



# 5
Material: Tb6Sm3Y
Method: DFT, GGA-PBE
State: optimized geometry

density = 7.36 Mg/m³
calculated total energy = -46.2 eV per cell
magnetic moment = 0.0 μB/cell

Unit cell a=6.630 b=9.647 c=6.660 alpha=110.79 beta=119.85 gamma=90.00
Sites, in units of the cell vectors:
Tb1 0.560 0.691 0.628
Sm1 0.000 0.000 0.000
Y1 0.500 0.500 0.000
Sm2 0.932 0.303 0.863
Tb2 0.067 0.691 0.628
Tb3 0.361 0.077 0.723
Tb4 0.440 0.309 0.372
Tb5 0.639 0.923 0.277
Sm3 0.068 0.697 0.137
Tb6 0.933 0.309 0.372



# 6
Material: Tb2SmY5
Method: DFT, GGA-PBE
State: optimized geometry

density = 5.70 Mg/m³
calculated total energy = -89.9 eV per cell
magnetic moment = 0.0 μB/cell

Unit cell a=8.840 b=8.528 c=11.182 alpha=90.00 beta=90.00 gamma=39.08
Sites, in units of the cell vectors:
Y1 0.233 0.689 0.750
Tb1 0.884 0.577 0.384
Sm1 0.498 0.154 0.250
Tb2 0.116 0.423 0.884
Y2 0.801 0.320 0.579
Tb3 0.116 0.423 0.616
Tb4 0.884 0.577 0.116
Y3 0.668 0.042 0.577
Y4 0.332 0.958 0.077
Y5 0.801 0.320 0.921
Y6 0.199 0.680 0.079
Y7 0.332 0.958 0.423
Y8 0.767 0.311 0.250
Sm2 0.502 0.846 0.750
Y9 0.199 0.680 0.421
Y10 0.668 0.042 0.923



# 7
Material: Tb4Sm10Y
Method: DFT, GGA-PBE
State: optimized geometry

density = 6.86 Mg/m³
calculated total energy = -65.7 eV per cell
magnetic moment = 0.0 μB/cell

Unit cell a=10.956 b=8.903 c=8.903 alpha=67.75 beta=52.03 gamma=52.03
Sites, in units of the cell vectors:
Sm1 0.608 0.105 0.345
Tb1 0.442 0.346 0.771
Tb2 0.213 0.229 0.346
Sm2 0.392 0.895 0.655
Sm3 0.287 0.655 0.105
Sm4 0.058 0.895 0.655
Sm5 0.750 0.500 0.500
Tb3 0.558 0.654 0.229
Sm6 0.047 0.345 0.895
Sm7 0.713 0.345 0.895
Sm8 0.942 0.105 0.345
Y1 0.000 0.000 0.000
Sm9 0.250 0.500 0.500
Tb4 0.787 0.771 0.654
Sm10 0.953 0.655 0.105



# 8
Material: Tb5Sm2Y4
Method: DFT, GGA-PBE
State: optimized geometry

density = 6.65 Mg/m³
calculated total energy = -57.0 eV per cell
magnetic moment = 0.0 μB/cell

Unit cell a=6.668 b=6.668 c=9.323 alpha=75.10 beta=75.10 gamma=66.77
Sites, in units of the cell vectors:
Tb1 0.785 0.346 0.224
Y1 0.328 0.328 0.125
Y2 0.317 0.317 0.500
Y3 0.683 0.683 0.500
Tb2 0.215 0.654 0.776
Y4 0.672 0.672 0.875
Tb3 0.346 0.785 0.224
Tb4 0.000 0.000 0.500
Sm1 0.854 0.854 0.123
Tb5 0.654 0.215 0.776
Sm2 0.146 0.146 0.877